Computed, not measured: crystalline BaRuAu at its relaxed geometry at the GGA-PBE level of DFT.

Output
The calculation puts the distance to the lowest polymorph of the same formula at 135 meV/atom. The total moment comes out at 0.00 Bohr magnetons per cell. The formation energy from the elements is 0.310 eV/atom. Its energy is -4.52 eV/atom.

a = 6.113 Å, b = 6.112 Å, c = 3.694 Å
α = 72.42°, β = 72.41°, γ = 35.17°
Fractional coordinates of all 3 atoms:
Au 0.049 0.049 0.951
Ba 0.336 0.336 0.664
Ru 0.616 0.616 0.384